# LiMnPtO4

LiMnPtO4 after structural relaxation (PBE with a Hubbard U, Alexandria).

**Calculated volume**: 155 Å³/cell
**SG**: Imma (74)
**Final energy**: -6.181 eV/atom

Cell lengths 5.844, 6.043, 6.181 Å; angles 120.76, 90.00, 118.92 degrees
Each line ends with the local moment (μB).
Fractional positions:
Pt (0.500, 0.000, 0.000)  0.00
O (0.262, 0.523, 0.295)  -0.03
O (0.262, 0.523, 0.728)  -0.03
O (0.256, 0.972, 0.736)  -0.02
Li (0.865, 0.729, 0.115)  0.00
O (0.284, 0.028, 0.264)  -0.02
Mn (0.000, 0.500, 0.500)  2.06
Pt (0.500, 0.000, 0.500)  0.00
O (0.716, 0.972, 0.736)  -0.02
Li (0.135, 0.271, 0.885)  0.00
O (0.738, 0.477, 0.705)  -0.03
Mn (0.500, 0.500, 0.500)  2.06
O (0.738, 0.477, 0.272)  -0.03
O (0.744, 0.028, 0.264)  -0.02